Record 1
The following is a PBE calculation of crystalline La2Pm4NdSc at its relaxed geometry, from Alexandria.

Results
For the energy of formation from the pure elements, the calculation gives 0.04 eV/atom. As for the total moment: 0.00 μB per cell. As for the total energy: -39.659 eV per formula unit.

Cell lengths 5.1140, 5.1256, 10.3299 Å; angles 90.00, 90.00, 90.00 degrees
Last column: nearest neighbours and their distance in Å.
Space group Pmmm (No. 47)
Inequivalent atoms, fractional coordinates:
La (0.0000, 0.0000, 0.0000) [1 per cell]  8 Pm 3.59, 4 Sc 3.62
La (0.5000, 0.5000, 0.5000) [1 per cell]  4 Nd 3.62, 8 Pm 3.68
Pm (0.0000, 0.5000, 0.2437) [2 per cell]  2 Sc 3.59, 4 La 3.59-3.68, 4 Pm 3.62, 2 Nd 3.68
Pm (0.5000, 0.0000, 0.2439) [2 per cell]  4 La 3.59-3.68, 2 Sc 3.59, 4 Pm 3.62, 2 Nd 3.68
Nd (0.0000, 0.0000, 0.5000) [1 per cell]  4 La 3.62, 8 Pm 3.68
Sc (0.5000, 0.5000, 0.0000) [1 per cell]  8 Pm 3.59, 4 La 3.62

***

Record 2
The following is a PBE calculation of crystalline CdW2Br at its relaxed geometry, from Alexandria.

Results
The raw formation energy is 149 kJ/mol of formula units. As for the total moment: 0.00 μB per cell. The value obtained for the excess energy over the best structure of this formula in the dataset is 0 meV per atom. As for the total energy: -26.953 eV per formula unit.

Cell lengths 3.3003, 3.3003, 26.8124 Å; angles 90.00, 90.00, 120.00 degrees
Last column: nearest neighbours and their distance in Å.
Space group R3m (No. 160, hexagonal axes)
Inequivalent atoms, fractional coordinates:
Cd (0.0000, 0.0000, 0.0000) [3 per cell]  3 W 3.06, 6 Cd 3.30, 3 Br 3.38
W (0.0000, 0.0000, 0.4838) [3 per cell]  3 W 2.52
W (0.0000, 0.0000, 0.7557) [3 per cell]  3 W 2.52
Br (0.0000, 0.0000, 0.2292) [3 per cell]  3 W 2.84

***

Record 3
The following is a PBE calculation of crystalline ZrH2Pd2 at its relaxed geometry, from Alexandria.

Results
As for the total moment: 0.00 μB per cell. The value obtained for the excess energy over the best structure of this formula in the dataset is 28 meV per atom. As for the total energy: -27.389 eV per formula unit.

Cell lengths 5.7857, 5.7857, 3.7154 Å; angles 90.00, 90.00, 90.00 degrees
Last column: nearest neighbours and their distance in Å.
Space group P4/mbm (No. 127)
Inequivalent atoms, fractional coordinates:
Zr (0.0000, 0.0000, 0.0000) [2 per cell]  4 H 2.17
H (0.1606, 0.3394, 0.0000) [4 per cell]  2 Pd 1.86
Pd (0.1634, 0.3366, 0.5000) [4 per cell]  2 H 1.86

***

Record 4
The following is a PBE calculation of crystalline Pr8Tl2Sb at its relaxed geometry, from Alexandria.

Results
The raw formation energy is -250 kJ/mol of formula units. As for the total moment: 0.00 μB per cell. As for the total energy: -49.685 eV per formula unit.

Cell lengths 9.0405, 15.2361, 5.7518 Å; angles 90.00, 112.43, 90.00 degrees
Last column: nearest neighbours and their distance in Å.
Space group C2/m (No. 12)
Inequivalent atoms, fractional coordinates:
Pr (0.0000, 0.2200, 0.0000) [4 per cell]  2 Tl 3.17, 1 Sb 3.35
Pr (0.1042, 0.5000, 0.7985) [4 per cell]  2 Pr 3.23-3.50, 1 Sb 3.31, 2 Tl 3.34
Pr (0.1954, 0.1092, 0.6030) [8 per cell]  4 Pr 3.27-3.65, 2 Tl 3.28-3.44, 1 Sb 3.64
Tl (0.0000, 0.3082, 0.5000) [4 per cell]  8 Pr 3.17-3.44
Sb (0.0000, 0.0000, 0.0000) [2 per cell]  8 Pr 3.31-3.64

***

Record 5
The following is a PBE calculation of crystalline NaNiH3 at its relaxed geometry, from Alexandria.

Results
As for the total moment: 0.00 μB per cell. As for the total energy: -17.260 eV per formula unit.

Cell lengths 8.8792, 8.8792, 8.8792 Å; angles 90.00, 90.00, 90.00 degrees
Last column: nearest neighbours and their distance in Å.
Space group Fd-3m (No. 227, origin choice 2)
Inequivalent atoms, fractional coordinates:
Na (0.0000, 0.0000, 0.0000) [16 per cell]  6 H 2.28
Ni (0.0000, 0.0000, 0.5000) [16 per cell]  6 H 1.67
H (0.0637, 0.3750, 0.8750) [48 per cell]  2 Ni 1.67

***

Record 6
The following is a PBE calculation of crystalline Ca4PmIn5 at its relaxed geometry, from Alexandria.

Results
For the energy of formation from the pure elements, the calculation gives -0.47 eV/atom. As for the total moment: 0.00 μB per cell. As for the total energy: -31.176 eV per formula unit.

Cell lengths 3.8758, 3.8758, 19.0398 Å; angles 90.00, 90.00, 90.00 degrees
Last column: nearest neighbours and their distance in Å.
Space group P4/mmm (No. 123)
Inequivalent atoms, fractional coordinates:
Ca (0.0000, 0.0000, 0.0999) [2 per cell]  8 In 3.33-3.34
Ca (0.0000, 0.0000, 0.2981) [2 per cell]  8 In 3.32-3.35
Pm (0.0000, 0.0000, 0.5000) [1 per cell]  8 In 3.34
In (0.5000, 0.5000, 0.0000) [1 per cell]  8 Ca 3.34
In (0.5000, 0.5000, 0.1993) [2 per cell]  8 Ca 3.32-3.33
In (0.5000, 0.5000, 0.3993) [2 per cell]  4 Pm 3.34, 4 Ca 3.35

***

Record 7
The following is a PBE calculation of crystalline HfPt2I at its relaxed geometry, from Alexandria.

Results
The raw formation energy is -20 kJ/mol of formula units. As for the total moment: 0.00 μB per cell. As for the total energy: -23.794 eV per formula unit.

Cell lengths 6.7972, 6.7972, 9.2655 Å; angles 90.00, 90.00, 90.00 degrees
Last column: nearest neighbours and their distance in Å.
Space group I-42d (No. 122)
Inequivalent atoms, fractional coordinates:
Hf (0.0000, 0.0000, 0.0000) [4 per cell]  4 Pt 2.57
Pt (0.2275, 0.7500, 0.1250) [8 per cell]  2 Hf 2.57, 2 I 2.77
I (0.0000, 0.0000, 0.5000) [4 per cell]  4 Pt 2.77

***

Record 8
The following is a PBE calculation of crystalline NbV8W2 at its relaxed geometry, from Alexandria.

Results
For the energy of formation from the pure elements, the calculation gives 0.21 eV/atom. As for the total moment: 0.00 μB per cell. As for the total energy: -106.659 eV per formula unit.

Cell lengths 11.6882, 4.4681, 7.7006 Å; angles 90.00, 125.83, 90.00 degrees
Last column: nearest neighbours and their distance in Å.
Space group C2/m (No. 12)
Inequivalent atoms, fractional coordinates:
Nb (0.0000, 0.0000, 0.0000) [2 per cell]  6 V 2.67-2.70
V (0.0491, 0.5000, 0.8634) [4 per cell]  2 V 2.30-2.36
V (0.0518, 0.0000, 0.3907) [4 per cell]  3 V 2.43-2.59, 2 W 2.70, 1 Nb 2.70
V (0.1939, 0.5000, 0.3458) [4 per cell]  3 V 2.30-2.56, 1 W 2.58
V (0.2042, 0.0000, 0.8716) [4 per cell]  3 V 2.36-2.56
W (0.1465, 0.5000, 0.6331) [4 per cell]  8 V 2.58-2.85, 1 W 2.78